Computed, not measured: a relaxed Cs3Pb2Se2Br3 crystal at the GGA-PBE level of DFT.

Values from the calculation:
- total moment (μB/cell) = 0.00
- VASP energy (eV/atom) = -3.39

```
Cs3Pb2Se2Br3
1.0
-1.7563 3.6073 3.6075
-5.0821 -0.9032 -1.5711
2.0797 -13.0807 10.0578
Cs Pb Se Br
3 2 2 3
Cartesian
-3.7306 -1.3744 3.5930
-1.0281 -9.0022 8.5012
0.0000 0.0000 0.0000
-4.1862 -5.3636 7.3601
-0.5725 -5.0130 4.7341
-1.5479 -4.0607 7.3417
-3.2108 -6.3159 4.7525
-4.4652 -7.8064 9.6670
-3.4192 1.3521 1.0182
-0.2935 -2.5702 2.4272
```

Computed, not measured: a relaxed LuScAlRh crystal at the GGA-PBE level of DFT.

Values from the calculation:
- energy of formation from the pure elements (eV per atom) = -0.64
- total moment (μB/cell) = 0.00
- VASP energy (eV/atom) = -6.13

```
LuScAlRh
1.0
-3.6109 0.4280 3.1172
-4.3457 -1.6695 -1.1254
-1.7226 -3.8804 2.2167
Sc Lu Rh Al
1 1 1 1
Cartesian
0.0000 0.0000 0.0000
-4.8396 -2.5610 2.1043
-7.2594 -3.8414 3.1565
-2.4198 -1.2805 1.0522
```

Computed, not measured: a relaxed SeBr2NCl crystal at the GGA-PBE level of DFT.

Values from the calculation:
- total moment (μB/cell) = 4.36
- energy above the most stable polymorph in this dataset (eV per atom) = 0.598
- VASP energy (eV/atom) = -1.81

```
SeBr2NCl
1.0
5.5143 0.0000 0.0000
0.0000 5.5143 0.0000
0.0000 0.0000 4.9880
N Se Br Cl
1 1 2 1
Cartesian
2.7571 2.7571 2.4940
0.0000 0.0000 2.4940
0.0000 2.7571 0.0000
2.7571 0.0000 0.0000
0.0000 0.0000 0.0000
```

Computed, not measured: a relaxed YHo2ErTm crystal at the GGA-PBE level of DFT.

Values from the calculation:
- energy of formation from the pure elements (eV per atom) = 0.40
- total moment (μB/cell) = 0.00
- VASP energy (eV/atom) = -4.53

```
YHo2ErTm
1.0
-2.7756 -5.2759 -3.9824
7.3237 -1.0589 -3.7015
-2.1974 -3.2426 5.8274
Y Ho Er Tm
2 4 2 2
Cartesian
2.2588 -6.2342 -2.9949
0.0920 -3.3432 1.1384
0.8694 -2.9643 -3.1320
5.0665 -0.7325 -2.5607
3.6788 -3.3705 -4.5519
2.2572 -0.3263 -1.1408
3.6025 -3.4828 -1.1233
-1.2517 -6.0946 -0.7332
4.3994 -5.5355 1.0406
-2.0487 -4.0420 -2.8971
```